(1)
A plane-wave DFT calculation with SCAN was carried out for Ag2PtAu at its PBEsol-relaxed geometry.

Unit cell a=2.8045 b=2.8045 c=28.3209 alpha=90.00 beta=90.00 gamma=120.00
Space group R-3m (No. 166, hexagonal axes)
One atom of each set of equivalent atoms:
Ag: 0.0000 0.0000 0.2486 x6
Pt: 0.0000 0.0000 0.5000 x3
Au: 0.0000 0.0000 0.0000 x3

Calculated values
* energy above the lowest structure with this stoichiometry: 0.000 eV per atom
* DFT formation energy: -0.053 eV/atom

(2)
A plane-wave DFT calculation with SCAN was carried out for TaRe3H at its PBEsol-relaxed geometry.

Unit cell a=4.7288 b=4.7288 c=4.7288 alpha=90.00 beta=90.00 gamma=90.00
Space group Pm-3m (No. 221)
One atom of each set of equivalent atoms:
Ta: 0.0000 0.0000 0.0000 x1
Re: 0.0000 0.0000 0.5000 x3
H: 0.5000 0.5000 0.5000 x1

Calculated values
* total DFT energy (no corrections): -267.61 eV for the cell shown

(3)
A plane-wave DFT calculation with SCAN was carried out for KLiCd4 at its PBEsol-relaxed geometry.

Unit cell a=8.3922 b=8.3922 c=8.3922 alpha=90.00 beta=90.00 gamma=90.00
Space group F-43m (No. 216)
One atom of each set of equivalent atoms:
K: 0.0000 0.0000 0.0000 x4
Li: 0.2500 0.2500 0.7500 x4
Cd: 0.1239 0.1239 0.3761 x16

Calculated values
* DFT formation energy: -0.113 eV/atom

(4)
A plane-wave DFT calculation with SCAN was carried out for In2GaCuHg at its PBEsol-relaxed geometry.

Unit cell a=5.2479 b=5.2479 c=4.5226 alpha=90.00 beta=90.00 gamma=90.00
Space group P4/mmm (No. 123)
One atom of each set of equivalent atoms:
In: 0.0000 0.5000 0.0000 x2
Ga: 0.0000 0.0000 0.0000 x1
Cu: 0.0000 0.0000 0.5000 x1
Hg: 0.5000 0.5000 0.5000 x1

Calculated values
* DFT formation energy: 0.310 eV/atom

(5)
A plane-wave DFT calculation with SCAN was carried out for SrHg2Cl at its PBEsol-relaxed geometry.

Unit cell a=9.6723 b=4.1833 c=5.8922 alpha=90.00 beta=110.51 gamma=90.00
Space group Cm (No. 8)
One atom of each set of equivalent atoms:
Sr: 0.0000 0.0000 0.0000 x2
Hg: 0.2553 0.5000 0.3965 x2
Hg: 0.4890 0.0000 0.5216 x2
Cl: 0.2852 0.0000 0.9386 x2

Calculated values
* energy above the lowest structure with this stoichiometry: 0.000 eV per atom

(6)
A plane-wave DFT calculation with SCAN was carried out for Sr2Sc2Be at its PBEsol-relaxed geometry.

Unit cell a=4.1980 b=4.1980 c=16.6959 alpha=90.00 beta=90.00 gamma=90.00
Space group I4/mmm (No. 139)
One atom of each set of equivalent atoms:
Sr: 0.0000 0.5000 0.2500 x4
Sc: 0.0000 0.0000 0.0787 x4
Be: 0.0000 0.0000 0.5000 x2

Calculated values
* DFT formation energy: 1.124 eV/atom

no.,V (A^3/atom)
1,16.08
2,21.15
3,24.63
4,24.91
5,27.91
6,29.42